1.
First-principles (SCAN) data for a PBEsol-optimized structure of SrMoOF2, as listed in the Alexandria database.

a b c (Å): 3.9144 4.2831 4.2831
angles (deg): 90.00 90.00 90.00
Element x y z (fractional)
Sr 0.5000 0.5000 0.5000
Mo 0.0000 0.0000 0.0000
O 0.5000 0.0000 0.0000
F 0.0000 0.0000 0.5000
F 0.0000 0.5000 0.0000

The density of states at the Fermi level comes out at 0.49 states/eV/atom. The calculation puts the total magnetic moment at 0.00 μB/atom. Its total energy is -81.143 eV/cell. The calculated volume is 71.8 Å³/cell. The value obtained for the formation energy without anion corrections is -2134 meV per atom.

***

2.
First-principles (SCAN) data for a PBEsol-optimized structure of YCrBr, as listed in the Alexandria database.

a b c (Å): 3.5002 4.4853 4.4853
angles (deg): 120.00 90.00 90.00
Element x y z (fractional)
Br 0.8332 0.0000 0.0000
Cr 0.8334 0.3333 0.6667
Y 0.3334 0.6667 0.3333

The density of states at the Fermi level comes out at 0.77 states/eV/atom. The calculation puts the total magnetic moment at 1.32 μB/atom. Its total energy is -65.939 eV/cell. The calculated volume is 61.0 Å³/cell. The value obtained for the formation energy without anion corrections is -84 meV per atom.

***

3.
First-principles (SCAN) data for a PBEsol-optimized structure of CaCdMo2, as listed in the Alexandria database.

a b c (Å): 3.9380 3.9380 5.5700
angles (deg): 110.70 110.70 90.00
Element x y z (fractional)
Mo 0.7500 0.2500 0.5000
Mo 0.2500 0.7500 0.5000
Ca 0.5000 0.5000 0.0000
Cd 0.0000 0.0000 0.0000

The density of states at the Fermi level comes out at 0.93 states/eV/atom. The calculation puts the total magnetic moment at 0.00 μB/atom. Its total energy is -106.977 eV/cell. As for the energy of formation: 0.718 eV/atom. The calculated volume is 74.8 Å³/cell.

***

4.
First-principles (SCAN) data for a PBEsol-optimized structure of La2AlZn2, as listed in the Alexandria database.

a b c (Å): 5.5459 5.5459 5.5459
angles (deg): 97.70 115.66 115.66
Element x y z (fractional)
Zn 0.0000 0.6559 0.6559
Zn 0.0000 0.3441 0.3441
Al 0.0000 0.0000 0.0000
La 0.5000 0.7500 0.2500
La 0.5000 0.2500 0.7500

The density of states at the Fermi level comes out at 0.74 states/eV/atom. The calculation puts the total magnetic moment at 0.15 μB/atom. Its total energy is -121.755 eV/cell. As for the energy of formation: -0.152 eV/atom. The calculated volume is 127.3 Å³/cell. Its distance to the lowest polymorph of the same formula is 1.23 eV per formula unit.

***

5.
First-principles (SCAN) data for a PBEsol-optimized structure of Ba2LaMn2O7, as listed in the Alexandria database.

a b c (Å): 3.9126 3.9126 10.6984
angles (deg): 100.54 100.54 90.00
Element x y z (fractional)
Ba 0.3187 0.3187 0.6374
Ba 0.6813 0.6813 0.3626
La 0.5000 0.5000 0.0000
Mn 0.0929 0.0929 0.1859
Mn 0.9071 0.9071 0.8141
O 0.1851 0.1851 0.3702
O 0.8149 0.8149 0.6298
O 0.0862 0.5862 0.1725
O 0.5862 0.0862 0.1725
O 0.9138 0.4138 0.8275
O 0.4138 0.9138 0.8275
O 0.0000 0.0000 0.0000

The density of states at the Fermi level comes out at 0.05 states/eV/atom. The calculation puts the total magnetic moment at 0.58 μB/atom. Its total energy is -236.990 eV/cell. The calculated volume is 158.2 Å³/cell. The value obtained for the formation energy without anion corrections is -2888 meV per atom.

***

6.
First-principles (SCAN) data for a PBEsol-optimized structure of AlCrRu2, as listed in the Alexandria database.

a b c (Å): 2.6250 2.6250 8.4291
angles (deg): 90.00 90.00 115.09
Element x y z (fractional)
Ru 0.0000 0.0000 0.0114
Ru 0.5000 0.5000 0.7425
Al 0.0000 0.0000 0.4972
Cr 0.5000 0.5000 0.2488

The density of states at the Fermi level comes out at 0.84 states/eV/atom. The calculation puts the total magnetic moment at 0.28 μB/atom. Its total energy is -95.294 eV/cell. As for the energy of formation: 0.124 eV/atom. The calculated volume is 52.6 Å³/cell.